A plane-wave DFT calculation with GGA-PBE was carried out for a geometry-optimized Co6CuIr structure.

Output
Its space-group type is Cmmm (65). For the volume, the calculation gives 11.6 Å³/atom. The theoretical density is 10890 kg/m3.

Unit cell a=6.226 b=6.226 c=10.181 alpha=90.00 beta=90.00 gamma=109.65
Fractional coordinates of all 32 atoms:
Co 0.880 0.627 0.373
Co 0.627 0.880 0.373
Co 0.500 0.500 0.750
Co 0.373 0.120 0.373
Co 0.120 0.373 0.373
Co 0.876 0.628 0.877
Co 0.124 0.372 0.877
Co 0.628 0.876 0.623
Co 0.752 0.248 0.497
Co 0.000 0.000 0.750
Co 0.627 0.880 0.127
Co 0.880 0.627 0.127
Co 0.120 0.373 0.127
Co 0.248 0.752 0.003
Co 0.124 0.372 0.623
Co 0.876 0.628 0.623
Co 0.752 0.248 0.003
Co 0.500 0.500 0.250
Co 0.248 0.752 0.497
Co 0.372 0.124 0.877
Co 0.628 0.876 0.877
Co 0.000 0.000 0.250
Co 0.373 0.120 0.127
Co 0.372 0.124 0.623
Ir 0.500 0.500 0.497
Ir 0.250 0.750 0.750
Ir 0.500 0.500 0.003
Ir 0.750 0.250 0.750
Cu 0.252 0.748 0.250
Cu 0.748 0.252 0.250
Cu 0.000 0.000 0.003
Cu 0.000 0.000 0.497


A plane-wave DFT calculation with GGA-PBE was carried out for a geometry-optimized LaLuTlGe structure.

Output
Its space-group type is F-43m (216). For the volume, the calculation gives 26.5 Å³/atom. The theoretical density is 9243 kg/m3.

Unit cell a=5.315 b=5.315 c=5.315 alpha=60.00 beta=60.00 gamma=60.00
Fractional coordinates of all 4 atoms:
Ge 0.750 0.750 0.750
Tl 0.250 0.250 0.250
La 0.000 0.000 0.000
Lu 0.500 0.500 0.500


no.,formation energy from the elements (kJ/mol of atoms)
1,7.6
2,-41.8